Material: HoPaMo
Method: DFT, GGA-PBE
State: relaxed

a b c (Å): 3.482 3.482 11.297
angles (deg): 90.00 90.00 90.00
Space group I4mm (No. 107)
Symmetry-distinct sites (fractional):
Ho: 0.000 0.000 0.000 x2
Pa: 0.000 0.000 0.302 x2
Mo: 0.000 0.000 0.682 x2

Computed properties:
Raw total energy: -24.62 eV/f.u.
Energy relative to the elements: 94.7 meV per atom